# 1
Below is an optimized crystal structure of Zr2NbPb, with properties calculated at the GGA-PBE level.

For the formation energy, the calculation gives 468 meV per atom. Its space group is No. 122.

abc: 6.359 6.359 6.359
angles: 102.52 102.52 124.49
Positions (direct):
1 Zr 0.106 0.125 0.481
2 Zr 0.375 0.894 0.019
3 Zr 0.644 0.625 0.519
4 Zr 0.875 0.356 0.981
5 Nb 0.000 0.000 0.000
6 Nb 0.750 0.250 0.500
7 Pb 0.250 0.750 0.500
8 Pb 0.500 0.500 0.000


# 2
Below is an optimized crystal structure of Hf2Zn2Pt, with properties calculated at the GGA-PBE level.

For the formation energy, the calculation gives -492 meV per atom. Its space group is No. 127.

abc: 6.714 6.714 3.836
angles: 90.00 90.00 90.00
Positions (direct):
1 Hf 0.172 0.328 0.000
2 Hf 0.328 0.828 0.000
3 Hf 0.672 0.172 0.000
4 Hf 0.828 0.672 0.000
5 Zn 0.129 0.629 0.500
6 Zn 0.371 0.129 0.500
7 Zn 0.629 0.871 0.500
8 Zn 0.871 0.371 0.500
9 Pt 0.000 0.000 0.500
10 Pt 0.500 0.500 0.500


# 3
Below is an optimized crystal structure of DyTm3Fe, with properties calculated at the GGA-PBE level.

For the formation energy, the calculation gives 87 meV per atom. Its space group is No. 221.

abc: 5.190 5.190 5.190
angles: 90.00 90.00 90.00
Positions (direct):
1 Dy 0.000 0.000 0.000
2 Tm 0.000 0.500 0.500
3 Tm 0.500 0.000 0.500
4 Tm 0.500 0.500 0.000
5 Fe 0.500 0.500 0.500


# 4
Below is an optimized crystal structure of HgRhO2, with properties calculated at the GGA-PBE level.

For the raw formation energy, the calculation gives -0.306 eV per atom. Its space group is No. 62.

abc: 7.456 3.093 10.649
angles: 90.00 90.00 90.00
Positions (direct):
1 Hg 0.031 0.250 0.117
2 Hg 0.469 0.750 0.617
3 Hg 0.531 0.250 0.383
4 Hg 0.969 0.750 0.883
5 Rh 0.055 0.750 0.378
6 Rh 0.445 0.250 0.878
7 Rh 0.555 0.750 0.122
8 Rh 0.945 0.250 0.622
9 O 0.107 0.750 0.565
10 O 0.202 0.250 0.321
11 O 0.298 0.750 0.821
12 O 0.393 0.250 0.065
13 O 0.607 0.750 0.935
14 O 0.702 0.250 0.179
15 O 0.798 0.750 0.679
16 O 0.893 0.250 0.435


# 5
Below is an optimized crystal structure of LiHoNiSn, with properties calculated at the GGA-PBE level.

For the formation energy, the calculation gives -587 meV per atom. Its space group is No. 216.

abc: 4.622 4.622 4.622
angles: 60.00 60.00 60.00
Positions (direct):
1 Li 0.000 0.000 0.000
2 Ho 0.750 0.750 0.750
3 Ni 0.500 0.500 0.500
4 Sn 0.250 0.250 0.250


# 6
Below is an optimized crystal structure of TaNiIr, with properties calculated at the GGA-PBE level.

For the formation energy, the calculation gives -303 meV per atom. Its space group is No. 156.

abc: 4.286 4.286 2.758
angles: 90.00 90.00 120.00
Positions (direct):
1 Ta 0.000 0.000 0.000
2 Ni 0.333 0.667 0.817
3 Ir 0.667 0.333 0.395